HoMn2O6 | GGA+U | relaxed

Values from the calculation:
* E_tot: -66.1 eV per cell
* space group: No. 162

abc: 5.0048 5.0048 4.8405
angles: 90.00 90.00 120.00
Atoms (fractional coordinates):
1 Ho 0.0000 0.0000 0.0000
2 Mn 0.3333 0.6667 0.5000
3 Mn 0.6667 0.3333 0.5000
4 O 0.0000 0.3637 0.7179
5 O 0.0000 0.6363 0.2821
6 O 0.3637 0.0000 0.7179
7 O 0.3637 0.3637 0.2821
8 O 0.6363 0.0000 0.2821
9 O 0.6363 0.6363 0.7179